VASP calculation (PBE+U) on an optimized crystal structure of B4Mo3PbO12.

POSCAR file:
```
B4Mo3PbO12
1.0
6.3665 0.0577 0.0802
-1.4780 6.1929 0.0802
-1.4780 -1.8897 5.8981
O B Pb Mo
12 4 1 3
Cartesian
4.0854 -0.9707 3.6900
2.7994 2.4520 2.2178
-1.5182 4.7015 3.0292
1.7053 1.0532 3.8406
1.7053 -1.1409 5.4199
2.7108 4.8824 0.2508
0.6999 5.6728 1.3489
5.3370 0.6297 2.3684
4.9288 2.9807 0.6385
0.6113 3.0361 3.0292
-1.9264 2.3148 4.7095
-0.6748 0.5536 5.8076
5.2100 -0.5606 3.0292
-1.7994 1.3104 5.6284
1.7053 5.7915 0.4300
1.7053 2.1804 3.0292
0.0000 0.0000 0.0000
2.8512 2.8071 0.0802
2.0374 -1.0170 3.2909
-1.4780 2.5708 2.6873
```

Symmetry ... R32, No. 155
Volume ... 235.0 Å³/cell
Total energy ... -7.5656 eV/atom